# AlPbW2

AlPbW2 after structural relaxation (PBE-GGA, the Alexandria database).

POSCAR file:
```
AlPbW2
1.0
5.4338 -0.0020 -0.0063
-2.4914 4.7977 -0.0013
0.4510 0.8744 2.7567
W Al Pb
2 1 1
Direct
0.0000 0.0000 0.0000
0.5000 0.0000 0.5000
0.0000 0.5000 0.5000
0.5000 0.5000 0.0000
```

Its total magnetization is 0.00 μB/cell. Its total energy is -7.563 eV per atom. For the formation energy from the elements, the calculation gives 0.777 eV/atom. The calculation puts the energy relative to the lowest polymorph listed for this composition at 0.394 eV/atom.